No. 1
A relaxed structure of NdBiPd6. Source: Alexandria via LeMat-Bulk, functional PBE-GGA.

Output
DOS at the Fermi energy (states/eV per atom): 0.474
E_tot (eV per atom): -5.474
E_form (kJ/mol of formula units): -384
SG: P4/mmm, No. 123

Cell lengths 4.1760, 4.1760, 8.3256 Å; angles 90.00, 90.00, 90.00 degrees
Closest atoms and distances in Å follow each position.
Sites, in units of the cell vectors:
Nd: 0.0000 0.0000 0.0000  12 Pd 2.95-2.98
Bi: 0.0000 0.0000 0.5000  12 Pd 2.92-2.95
Pd: 0.0000 0.5000 0.2554  2 Bi 2.92, 8 Pd 2.92-2.98, 2 Nd 2.98
Pd: 0.0000 0.5000 0.7446  2 Bi 2.92, 8 Pd 2.92-2.98, 2 Nd 2.98
Pd: 0.5000 0.0000 0.2554  2 Bi 2.92, 8 Pd 2.92-2.98, 2 Nd 2.98
Pd: 0.5000 0.0000 0.7446  2 Bi 2.92, 8 Pd 2.92-2.98, 2 Nd 2.98
Pd: 0.5000 0.5000 0.0000  4 Nd 2.95, 8 Pd 2.98
Pd: 0.5000 0.5000 0.5000  8 Pd 2.92, 4 Bi 2.95

---

No. 2
A relaxed structure of NdBi4Pd15. Source: Alexandria via LeMat-Bulk, functional PBE-GGA.

Output
DOS at the Fermi energy (states/eV per atom): 0.507
E_tot (eV per atom): -5.247
E_form (kJ/mol of formula units): -651
SG: P4/mmm, No. 123

Cell lengths 4.1649, 4.1649, 20.6317 Å; angles 90.00, 90.00, 90.00 degrees
Closest atoms and distances in Å follow each position.
Sites, in units of the cell vectors:
Nd: 0.0000 0.0000 0.0000  12 Pd 2.95-2.98
Bi: 0.0000 0.0000 0.2006  12 Pd 2.89-2.95
Bi: 0.0000 0.0000 0.4004  12 Pd 2.92-2.95
Bi: 0.0000 0.0000 0.5996  12 Pd 2.92-2.95
Bi: 0.0000 0.0000 0.7994  12 Pd 2.89-2.95
Pd: 0.0000 0.5000 0.1031  2 Bi 2.89, 8 Pd 2.95-2.98, 2 Nd 2.98
Pd: 0.0000 0.5000 0.3011  8 Pd 2.89-2.95, 4 Bi 2.92-2.94
Pd: 0.0000 0.5000 0.5000  8 Pd 2.92-2.95, 4 Bi 2.93
Pd: 0.0000 0.5000 0.6989  8 Pd 2.89-2.95, 4 Bi 2.92-2.94
Pd: 0.0000 0.5000 0.8969  2 Bi 2.89, 8 Pd 2.95-2.98, 2 Nd 2.98
Pd: 0.5000 0.0000 0.1031  2 Bi 2.89, 8 Pd 2.95-2.98, 2 Nd 2.98
Pd: 0.5000 0.0000 0.3011  8 Pd 2.89-2.95, 4 Bi 2.92-2.94
Pd: 0.5000 0.0000 0.5000  8 Pd 2.92-2.95, 4 Bi 2.93
Pd: 0.5000 0.0000 0.6989  8 Pd 2.89-2.95, 4 Bi 2.92-2.94
Pd: 0.5000 0.0000 0.8969  2 Bi 2.89, 8 Pd 2.95-2.98, 2 Nd 2.98
Pd: 0.5000 0.5000 0.0000  4 Nd 2.95, 8 Pd 2.98
Pd: 0.5000 0.5000 0.2041  8 Pd 2.89-2.95, 4 Bi 2.95
Pd: 0.5000 0.5000 0.4005  8 Pd 2.92, 4 Bi 2.95
Pd: 0.5000 0.5000 0.5995  8 Pd 2.92, 4 Bi 2.95
Pd: 0.5000 0.5000 0.7959  8 Pd 2.89-2.95, 4 Bi 2.95

---

No. 3
A relaxed structure of NdBiPd5. Source: Alexandria via LeMat-Bulk, functional PBE-GGA.

Output
DOS at the Fermi energy (states/eV per atom): 0.602
E_tot (eV per atom): -5.462
E_form (kJ/mol of formula units): -350
SG: Pnma, No. 62

Cell lengths 8.8641, 5.5460, 11.0401 Å; angles 90.00, 90.00, 90.00 degrees
Closest atoms and distances in Å follow each position.
Sites, in units of the cell vectors:
Nd: 0.2445 0.2500 0.0503  11 Pd 3.09-3.45, 1 Bi 3.40
Nd: 0.2555 0.7500 0.5503  11 Pd 3.09-3.45, 1 Bi 3.40
Nd: 0.7445 0.2500 0.4497  11 Pd 3.09-3.45, 1 Bi 3.40
Nd: 0.7555 0.7500 0.9497  11 Pd 3.09-3.45, 1 Bi 3.40
Bi: 0.1526 0.2500 0.3496  8 Pd 2.68-2.94
Bi: 0.3474 0.7500 0.8496  8 Pd 2.68-2.94
Bi: 0.6526 0.2500 0.1504  8 Pd 2.68-2.94
Bi: 0.8474 0.7500 0.6504  8 Pd 2.68-2.94
Pd: 0.0640 0.5046 0.8044  7 Pd 2.69-2.82, 2 Bi 2.90
Pd: 0.0640 0.9954 0.8044  7 Pd 2.69-2.82, 2 Bi 2.90
Pd: 0.0730 0.2500 0.5841  1 Bi 2.68, 4 Pd 2.80-2.96
Pd: 0.0955 0.7500 0.0224  6 Pd 2.77-3.02, 1 Bi 2.94, 2 Nd 3.09
Pd: 0.1822 0.7500 0.2665  7 Pd 2.69-2.96, 2 Bi 2.93
Pd: 0.3178 0.2500 0.7665  7 Pd 2.69-2.96, 2 Bi 2.93
Pd: 0.4045 0.2500 0.5224  6 Pd 2.77-3.02, 1 Bi 2.94, 2 Nd 3.09
Pd: 0.4270 0.7500 0.0841  1 Bi 2.68, 4 Pd 2.80-2.96
Pd: 0.4360 0.0046 0.3044  7 Pd 2.69-2.82, 2 Bi 2.90
Pd: 0.4360 0.4954 0.3044  7 Pd 2.69-2.82, 2 Bi 2.90
Pd: 0.5640 0.5046 0.6956  7 Pd 2.69-2.82, 2 Bi 2.90
Pd: 0.5640 0.9954 0.6956  7 Pd 2.69-2.82, 2 Bi 2.90
Pd: 0.5730 0.2500 0.9159  1 Bi 2.68, 4 Pd 2.80-2.96
Pd: 0.5955 0.7500 0.4776  6 Pd 2.77-3.02, 1 Bi 2.94, 2 Nd 3.09
Pd: 0.6822 0.7500 0.2335  7 Pd 2.69-2.96, 2 Bi 2.93
Pd: 0.8178 0.2500 0.7335  7 Pd 2.69-2.96, 2 Bi 2.93
Pd: 0.9045 0.2500 0.9776  6 Pd 2.77-3.02, 1 Bi 2.94, 2 Nd 3.09
Pd: 0.9270 0.7500 0.4159  1 Bi 2.68, 4 Pd 2.80-2.96
Pd: 0.9360 0.0046 0.1956  7 Pd 2.69-2.82, 2 Bi 2.90
Pd: 0.9360 0.4954 0.1956  7 Pd 2.69-2.82, 2 Bi 2.90

---

No. 4
A relaxed structure of NdBi3Pd3. Source: Alexandria via LeMat-Bulk, functional PBE-GGA.

Output
DOS at the Fermi energy (states/eV per atom): 0.714
E_tot (eV per atom): -4.588
E_form (kJ/mol of formula units): -12
SG: Pm-3n, No. 223

Cell lengths 7.4977, 7.4977, 7.4977 Å; angles 90.00, 90.00, 90.00 degrees
Closest atoms and distances in Å follow each position.
Sites, in units of the cell vectors:
Nd: 0.0000 0.0000 0.0000  12 Bi 4.19, 12 Pd 4.19
Nd: 0.5000 0.5000 0.5000  12 Bi 4.19, 12 Pd 4.19
Bi: 0.0000 0.2500 0.5000  4 Pd 2.65
Bi: 0.0000 0.7500 0.5000  4 Pd 2.65
Bi: 0.2500 0.5000 0.0000  4 Pd 2.65
Bi: 0.5000 0.0000 0.2500  4 Pd 2.65
Bi: 0.5000 0.0000 0.7500  4 Pd 2.65
Bi: 0.7500 0.5000 0.0000  4 Pd 2.65
Pd: 0.0000 0.5000 0.2500  4 Bi 2.65
Pd: 0.0000 0.5000 0.7500  4 Bi 2.65
Pd: 0.2500 0.0000 0.5000  4 Bi 2.65
Pd: 0.5000 0.2500 0.0000  4 Bi 2.65
Pd: 0.5000 0.7500 0.0000  4 Bi 2.65
Pd: 0.7500 0.0000 0.5000  4 Bi 2.65

---

No. 5
A relaxed structure of Nd2BiPd9. Source: Alexandria via LeMat-Bulk, functional PBE-GGA.

Output
DOS at the Fermi energy (states/eV per atom): 0.279
E_tot (eV per atom): -5.607
E_form (kJ/mol of formula units): -688
SG: P4/mmm, No. 123

Cell lengths 4.1896, 4.1896, 12.4878 Å; angles 90.00, 90.00, 90.00 degrees
Closest atoms and distances in Å follow each position.
Sites, in units of the cell vectors:
Nd: 0.0000 0.0000 0.1663  12 Pd 2.95-3.00
Nd: 0.0000 0.0000 0.8337  12 Pd 2.95-3.00
Bi: 0.0000 0.0000 0.5000  12 Pd 2.91-2.96
Pd: 0.0000 0.5000 0.0000  4 Nd 2.95, 8 Pd 2.96-3.01
Pd: 0.0000 0.5000 0.3388  2 Bi 2.91, 8 Pd 2.91-2.96, 2 Nd 3.00
Pd: 0.0000 0.5000 0.6612  2 Bi 2.91, 8 Pd 2.91-2.96, 2 Nd 3.00
Pd: 0.5000 0.0000 0.0000  4 Nd 2.95, 8 Pd 2.96-3.01
Pd: 0.5000 0.0000 0.3388  2 Bi 2.91, 8 Pd 2.91-2.96, 2 Nd 3.00
Pd: 0.5000 0.0000 0.6612  2 Bi 2.91, 8 Pd 2.91-2.96, 2 Nd 3.00
Pd: 0.5000 0.5000 0.1731  8 Pd 2.94-3.01, 4 Nd 2.96
Pd: 0.5000 0.5000 0.5000  8 Pd 2.91, 4 Bi 2.96
Pd: 0.5000 0.5000 0.8269  8 Pd 2.94-3.01, 4 Nd 2.96

---

No. 6
A relaxed structure of NdBi2Pd2. Source: Alexandria via LeMat-Bulk, functional PBE-GGA.

Output
DOS at the Fermi energy (states/eV per atom): 0.422
E_tot (eV per atom): -5.174
E_form (kJ/mol of formula units): -285
SG: P2_1/m, No. 11

Cell lengths 4.9322, 4.7010, 11.2752 Å; angles 90.00, 102.05, 90.00 degrees
Closest atoms and distances in Å follow each position.
Sites, in units of the cell vectors:
Nd: 0.1819 0.2500 0.3048  5 Pd 2.94-3.24
Nd: 0.8181 0.7500 0.6952  5 Pd 2.94-3.24
Bi: 0.2367 0.2500 0.9877  4 Pd 2.79-2.93
Bi: 0.2813 0.2500 0.6433  5 Pd 2.80-3.04
Bi: 0.7187 0.7500 0.3567  5 Pd 2.80-3.04
Bi: 0.7633 0.7500 0.0123  4 Pd 2.79-2.93
Pd: 0.3071 0.7500 0.5065  4 Bi 2.83-3.04, 1 Nd 2.94, 2 Pd 3.05
Pd: 0.3093 0.7500 0.1428  5 Bi 2.79-2.93, 2 Nd 3.12
Pd: 0.6907 0.2500 0.8572  5 Bi 2.79-2.93, 2 Nd 3.12
Pd: 0.6929 0.2500 0.4935  4 Bi 2.83-3.04, 1 Nd 2.94, 2 Pd 3.05

---

No. 7
A relaxed structure of NdBiPdRh. Source: Alexandria via LeMat-Bulk, functional PBE-GGA.

Output
DOS at the Fermi energy (states/eV per atom): 0.414
E_tot (eV per atom): -5.883
E_form (kJ/mol of formula units): -226
SG: Amm2, No. 38

Cell lengths 4.2028, 4.0437, 10.5310 Å; angles 90.00, 90.00, 90.00 degrees
Closest atoms and distances in Å follow each position.
Sites, in units of the cell vectors:
Nd: 0.0000 0.0000 0.0000  3 Pd 2.95-3.08, 4 Rh 2.96
Nd: 0.0000 0.5000 0.5000  3 Pd 2.95-3.08, 4 Rh 2.96
Bi: 0.5000 0.0000 0.7217  1 Rh 2.82, 4 Pd 2.98
Bi: 0.5000 0.5000 0.2217  1 Rh 2.82, 4 Pd 2.98
Pd: 0.0000 0.0000 0.2799  2 Rh 2.79, 3 Nd 2.95-3.08, 4 Bi 2.98
Pd: 0.0000 0.5000 0.7799  2 Rh 2.79, 3 Nd 2.95-3.08, 4 Bi 2.98
Rh: 0.5000 0.0000 0.4542  2 Pd 2.79, 1 Bi 2.82, 4 Nd 2.96
Rh: 0.5000 0.5000 0.9542  2 Pd 2.79, 1 Bi 2.82, 4 Nd 2.96

---

No. 8
A relaxed structure of NdBiPdRh. Source: Alexandria via LeMat-Bulk, functional PBE-GGA.

Output
DOS at the Fermi energy (states/eV per atom): 0.841
E_tot (eV per atom): -5.851
E_form (kJ/mol of formula units): -213
SG: F-43m, No. 216

Cell lengths 6.9947, 6.9947, 6.9947 Å; angles 90.00, 90.00, 90.00 degrees
Closest atoms and distances in Å follow each position.
Sites, in units of the cell vectors:
Nd: 0.0000 0.0000 0.0000  4 Pd 3.03, 4 Rh 3.03
Nd: 0.0000 0.5000 0.5000  4 Pd 3.03, 4 Rh 3.03
Nd: 0.5000 0.0000 0.5000  4 Pd 3.03, 4 Rh 3.03
Nd: 0.5000 0.5000 0.0000  4 Pd 3.03, 4 Rh 3.03
Bi: 0.0000 0.0000 0.5000  4 Rh 3.03, 4 Pd 3.03
Bi: 0.0000 0.5000 0.0000  4 Rh 3.03, 4 Pd 3.03
Bi: 0.5000 0.0000 0.0000  4 Rh 3.03, 4 Pd 3.03
Bi: 0.5000 0.5000 0.5000  4 Rh 3.03, 4 Pd 3.03
Pd: 0.2500 0.2500 0.2500  4 Bi 3.03, 4 Nd 3.03
Pd: 0.2500 0.7500 0.7500  4 Bi 3.03, 4 Nd 3.03
Pd: 0.7500 0.2500 0.7500  4 Bi 3.03, 4 Nd 3.03
Pd: 0.7500 0.7500 0.2500  4 Bi 3.03, 4 Nd 3.03
Rh: 0.2500 0.2500 0.7500  4 Bi 3.03, 4 Nd 3.03
Rh: 0.2500 0.7500 0.2500  4 Bi 3.03, 4 Nd 3.03
Rh: 0.7500 0.2500 0.2500  4 Bi 3.03, 4 Nd 3.03
Rh: 0.7500 0.7500 0.7500  4 Bi 3.03, 4 Nd 3.03

---

No. 9
A relaxed structure of Nd2BiSb3Pd4. Source: Alexandria via LeMat-Bulk, functional PBE-GGA.

Output
DOS at the Fermi energy (states/eV per atom): 0.489
E_tot (eV per atom): -5.420
Formation energy from raw total energies (meV/atom): -765.0
SG: P-4m2, No. 115

Cell lengths 4.5751, 4.5751, 11.1983 Å; angles 90.00, 90.00, 90.00 degrees
Closest atoms and distances in Å follow each position.
Sites, in units of the cell vectors:
Nd: 0.0000 0.5000 0.2236  8 Pd 3.39-3.57, 4 Sb 3.41
Nd: 0.5000 0.0000 0.7764  8 Pd 3.39-3.57, 4 Sb 3.41
Bi: 0.0000 0.0000 0.5000  4 Pd 2.79
Sb: 0.0000 0.5000 0.8726  5 Pd 2.58-2.70
Sb: 0.5000 0.0000 0.1274  5 Pd 2.58-2.70
Sb: 0.5000 0.5000 0.5000  4 Pd 2.79
Pd: 0.0000 0.0000 0.0000  4 Sb 2.70
Pd: 0.0000 0.5000 0.6420  3 Sb 2.58-2.79, 2 Bi 2.79
Pd: 0.5000 0.0000 0.3580  3 Sb 2.58-2.79, 2 Bi 2.79
Pd: 0.5000 0.5000 0.0000  4 Sb 2.70

---

No. 10
A relaxed structure of Nd2Sn3BiPd4. Source: Alexandria via LeMat-Bulk, functional PBE-GGA.

Output
DOS at the Fermi energy (states/eV per atom): 0.595
E_tot (eV per atom): -5.328
E_form (kJ/mol of formula units): -684
SG: P-4m2, No. 115

Cell lengths 4.6157, 4.6157, 10.9740 Å; angles 90.00, 90.00, 90.00 degrees
Closest atoms and distances in Å follow each position.
Sites, in units of the cell vectors:
Nd: 0.0000 0.5000 0.2306  8 Pd 3.43-3.56, 6 Sn 3.47-3.75, 2 Bi 3.75
Nd: 0.5000 0.0000 0.7694  8 Pd 3.43-3.56, 6 Sn 3.47-3.75, 2 Bi 3.75
Sn: 0.0000 0.5000 0.8760  5 Pd 2.59-2.68
Sn: 0.5000 0.0000 0.1240  5 Pd 2.59-2.68
Sn: 0.5000 0.5000 0.5000  4 Pd 2.77
Bi: 0.0000 0.0000 0.5000  4 Pd 2.77
Pd: 0.0000 0.0000 0.0000  4 Sn 2.68
Pd: 0.0000 0.5000 0.6403  3 Sn 2.59-2.77, 2 Bi 2.77
Pd: 0.5000 0.0000 0.3597  3 Sn 2.59-2.77, 2 Bi 2.77
Pd: 0.5000 0.5000 0.0000  4 Sn 2.68

---

No. 11
A relaxed structure of Pm3Nd4Bi4. Source: Alexandria via LeMat-Bulk, functional PBE-GGA.

Output
DOS at the Fermi energy (states/eV per atom): 1.205
E_tot (eV per atom): -4.993
E_form (kJ/mol of formula units): -586
SG: Amm2, No. 38

Cell lengths 12.0163, 6.9439, 6.9439 Å; angles 39.89, 90.00, 90.00 degrees
Closest atoms and distances in Å follow each position.
Sites, in units of the cell vectors:
Pm: 0.0000 0.0000 0.0000  2 Bi 3.11
Pm: 0.3459 0.0699 0.0699  4 Bi 3.24-3.27
Pm: 0.6541 0.0699 0.0699  4 Bi 3.24-3.27
Nd: 0.0000 0.3010 0.3010  4 Bi 3.05-3.26
Nd: 0.2476 0.7710 0.7710  4 Bi 3.31-3.34
Nd: 0.5000 0.3602 0.3602  4 Bi 3.45-3.54
Nd: 0.7524 0.7710 0.7710  4 Bi 3.31-3.34
Bi: 0.0000 0.6544 0.6544  4 Nd 3.05-3.34, 2 Pm 3.11
Bi: 0.2204 0.4466 0.4466  4 Pm 3.24-3.62, 4 Nd 3.26-3.54
Bi: 0.5000 0.6684 0.6684  4 Pm 3.27, 4 Nd 3.32-3.45
Bi: 0.7796 0.4466 0.4466  4 Pm 3.24-3.62, 4 Nd 3.26-3.54

---

No. 12
A relaxed structure of Pm3NdBi. Source: Alexandria via LeMat-Bulk, functional PBE-GGA.

Output
DOS at the Fermi energy (states/eV per atom): 1.466
E_tot (eV per atom): -4.846
E_form (kJ/mol of formula units): -128
SG: Pnma, No. 62

Cell lengths 11.1754, 4.0627, 15.0136 Å; angles 90.00, 90.00, 90.00 degrees
Closest atoms and distances in Å follow each position.
Sites, in units of the cell vectors:
Pm: 0.0615 0.2500 0.0871  3 Bi 3.27-3.30, 3 Pm 3.34-3.59
Pm: 0.0636 0.7500 0.2943  2 Bi 3.32-3.65, 4 Pm 3.48-3.66
Pm: 0.1892 0.7500 0.7101  2 Bi 3.28, 5 Pm 3.34-3.66
Pm: 0.3108 0.2500 0.2101  2 Bi 3.28, 5 Pm 3.34-3.66
Pm: 0.4364 0.2500 0.7943  2 Bi 3.32-3.65, 4 Pm 3.48-3.66
Pm: 0.4385 0.7500 0.5871  3 Bi 3.27-3.30, 3 Pm 3.34-3.59
Pm: 0.5615 0.2500 0.4129  3 Bi 3.27-3.30, 3 Pm 3.34-3.59
Pm: 0.5636 0.7500 0.2057  2 Bi 3.32-3.65, 4 Pm 3.48-3.66
Pm: 0.6892 0.7500 0.7899  2 Bi 3.28, 5 Pm 3.34-3.66
Pm: 0.8108 0.2500 0.2899  2 Bi 3.28, 5 Pm 3.34-3.66
Pm: 0.9364 0.2500 0.7057  2 Bi 3.32-3.65, 4 Pm 3.48-3.66
Pm: 0.9385 0.7500 0.9129  3 Bi 3.27-3.30, 3 Pm 3.34-3.59
Nd: 0.1594 0.2500 0.5027  2 Bi 3.38, 2 Pm 3.73
Nd: 0.3406 0.7500 0.0027  2 Bi 3.38, 2 Pm 3.73
Nd: 0.6594 0.2500 0.9973  2 Bi 3.38, 2 Pm 3.73
Nd: 0.8406 0.7500 0.4973  2 Bi 3.38, 2 Pm 3.73
Bi: 0.1632 0.2500 0.8806  7 Pm 3.27-3.65, 2 Nd 3.38
Bi: 0.3368 0.7500 0.3806  7 Pm 3.27-3.65, 2 Nd 3.38
Bi: 0.6632 0.2500 0.6194  7 Pm 3.27-3.65, 2 Nd 3.38
Bi: 0.8368 0.7500 0.1194  7 Pm 3.27-3.65, 2 Nd 3.38